[1]
A plane-wave DFT calculation with PBE was carried out for a relaxed AlS2N crystal.

Unit cell a=4.6909 b=4.6909 c=6.8437 alpha=69.96 beta=69.96 gamma=90.00
Last column: nearest neighbours and their distance in Å.
Fractional positions:
Al (0.0000, 0.0000, 0.0000)  4 S 2.36
Al (0.7500, 0.2500, 0.5000)  4 S 2.36
S (0.5765, 0.1250, 0.2500)  2 N 2.12, 2 Al 2.36
S (0.8750, 0.8265, 0.7500)  2 N 2.12, 2 Al 2.36
S (0.3750, 0.4235, 0.7500)  2 N 2.12, 2 Al 2.36
S (0.1735, 0.6250, 0.2500)  2 N 2.12, 2 Al 2.36
N (0.5000, 0.5000, 0.0000)  4 S 2.12
N (0.2500, 0.7500, 0.5000)  4 S 2.12

Its distance to the lowest polymorph of the same formula is 0.3101 eV/atom. The energy relative to the elements, uncorrected comes out at 2.480 eV per formula unit. For the magnetization, the calculation gives 0.00 μB per atom.

***

[2]
A plane-wave DFT calculation with PBE was carried out for a relaxed Al2SN2 crystal.

Unit cell a=3.2606 b=3.2606 c=5.9518 alpha=74.10 beta=74.10 gamma=90.00
Last column: nearest neighbours and their distance in Å.
Fractional positions:
S (0.0000, 0.0000, 0.0000)  8 Al 2.81
Al (0.3539, 0.3539, 0.2922)  4 N 1.99
Al (0.6461, 0.6461, 0.7078)  4 N 1.99
N (0.7500, 0.2500, 0.5000)  4 Al 1.99
N (0.2500, 0.7500, 0.5000)  4 Al 1.99

Its distance to the lowest polymorph of the same formula is 0.0000 eV/atom. The energy relative to the elements, uncorrected comes out at -0.115 eV per formula unit. For the magnetization, the calculation gives 0.00 μB per atom.

***

[3]
A plane-wave DFT calculation with PBE was carried out for a relaxed Al2SN2 crystal.

Unit cell a=6.2338 b=6.2338 c=2.6751 alpha=90.00 beta=90.00 gamma=90.00
Last column: nearest neighbours and their distance in Å.
Fractional positions:
N (0.3628, 0.1372, 0.5000)  6 Al 2.23-2.32, 1 N 2.42
N (0.1372, 0.6372, 0.5000)  6 Al 2.23-2.32, 1 N 2.42
N (0.6372, 0.8628, 0.5000)  6 Al 2.23-2.32, 1 N 2.42
N (0.8628, 0.3628, 0.5000)  6 Al 2.23-2.32, 1 N 2.42
S (0.5000, 0.5000, 0.0000)  4 Al 2.38
S (0.0000, 0.0000, 0.0000)  4 Al 2.38
Al (0.6479, 0.1479, 0.0000)  6 N 2.23-2.32, 2 S 2.38
Al (0.3521, 0.8521, 0.0000)  6 N 2.23-2.32, 2 S 2.38
Al (0.8521, 0.6479, 0.0000)  6 N 2.23-2.32, 2 S 2.38
Al (0.1479, 0.3521, 0.0000)  6 N 2.23-2.32, 2 S 2.38

Its distance to the lowest polymorph of the same formula is 0.3488 eV/atom. The energy relative to the elements, uncorrected comes out at 1.629 eV per formula unit. For the magnetization, the calculation gives 0.00 μB per atom.